VASP calculation (PBE) on an optimized crystal structure of PrSm2Ir.

a b c (Å): 4.0538 4.0538 9.4660
angles (deg): 77.64 77.64 60.00
Element x y z (fractional)
Pr 0.5015 0.5015 0.4955
Sm 0.0556 0.0556 0.8331
Ir 0.6661 0.6661 0.0016
Sm 0.2767 0.2767 0.1698

- polymorph energy (0 for the lowest one) (meV per atom) = 158
- DOS(E_F) (states/eV/f.u.) = 4.25
- uncorrected energy (eV for the cell shown) = -24.3

=====

VASP calculation (PBE) on an optimized crystal structure of Ba3Ac4Tl4.

a b c (Å): 5.5137 9.2776 10.6252
angles (deg): 115.89 105.04 90.00
Element x y z (fractional)
Tl 0.5000 0.1740 0.0000
Ac 0.3289 0.1206 0.6577
Ba 0.0000 0.5000 0.0000
Ac 0.6711 0.4629 0.3423
Ba 0.8876 0.8876 0.7753
Ba 0.1124 0.1124 0.2247
Ac 0.3289 0.5371 0.6577
Tl 0.2162 0.7162 0.4324
Tl 0.5000 0.8260 0.0000
Tl 0.7838 0.2838 0.5676
Ac 0.6711 0.8794 0.3423

- DOS(E_F) (states/eV/f.u.) = 10.44
- uncorrected energy (eV for the cell shown) = -34.1

=====

VASP calculation (PBE) on an optimized crystal structure of Tb7Sm3Er2.

a b c (Å): 6.5050 6.5050 11.8523
angles (deg): 74.07 74.07 60.00
Element x y z (fractional)
Sm 0.1543 0.1543 0.5370
Sm 0.8456 0.8456 0.4630
Tb 0.9180 0.4151 0.2518
Tb 0.4151 0.9180 0.2518
Tb 0.4151 0.4151 0.2518
Tb 0.5000 0.5000 0.5000
Sm 0.0000 0.0000 0.0000
Tb 0.0820 0.5849 0.7482
Tb 0.5849 0.5849 0.7482
Er 0.6666 0.6666 0.0002
Tb 0.5849 0.0820 0.7482
Er 0.3334 0.3334 0.9998

- DOS(E_F) (states/eV/f.u.) = 19.63
- uncorrected energy (eV for the cell shown) = -52.2

=====

VASP calculation (PBE) on an optimized crystal structure of Y7Tm2Pu.

a b c (Å): 3.4618 10.1641 10.1639
angles (deg): 108.04 90.00 90.00
Element x y z (fractional)
Y 0.5000 0.5000 0.5000
Y 0.0000 0.6781 0.3219
Y 0.0000 0.3219 0.6781
Tm 0.5000 0.1618 0.8382
Y 0.5000 0.1252 0.3902
Y 0.5000 0.3902 0.1252
Y 0.5000 0.6098 0.8748
Pu 0.0000 0.0000 0.0000
Y 0.5000 0.8748 0.6098
Tm 0.5000 0.8382 0.1618

- DOS(E_F) (states/eV/f.u.) = 22.48
- uncorrected energy (eV for the cell shown) = -63.9

=====

VASP calculation (PBE) on an optimized crystal structure of TiTe2.

a b c (Å): 3.7782 3.7782 6.7163
angles (deg): 90.02 90.00 120.00
Element x y z (fractional)
Te 0.5801 0.1602 0.2441
Te 0.9137 0.8275 0.7569
Ti 0.2470 0.4940 0.5005

- formation energy without anion corrections (meV per atom) = -696
- DOS(E_F) (states/eV/f.u.) = 1.38
- uncorrected energy (eV for the cell shown) = -16.3

=====

VASP calculation (PBE) on an optimized crystal structure of AlFeN3.

a b c (Å): 3.6425 3.6425 3.6425
angles (deg): 90.00 90.00 90.00
Element x y z (fractional)
N 0.5000 0.0000 0.0000
N 0.0000 0.5000 0.0000
Al 0.5000 0.5000 0.5000
Fe 0.0000 0.0000 0.0000
N 0.0000 0.0000 0.5000

- formation energy without anion corrections (meV per atom) = 1073
- DOS(E_F) (states/eV/f.u.) = 4.21
- uncorrected energy (eV for the cell shown) = -31.8

=====

VASP calculation (PBE) on an optimized crystal structure of PuHfZr2.

a b c (Å): 3.2338 3.2338 10.6062
angles (deg): 81.23 81.23 60.00
Element x y z (fractional)
Zr 0.2524 0.2524 0.2429
Zr 0.0811 0.0811 0.7568
Hf 0.6670 0.6670 0.9991
Pu 0.4996 0.4996 0.5012

- polymorph energy (0 for the lowest one) (meV per atom) = 32
- DOS(E_F) (states/eV/f.u.) = 9.36
- uncorrected energy (eV for the cell shown) = -41.0

=====

VASP calculation (PBE) on an optimized crystal structure of ZnNi6Ge.

a b c (Å): 6.1990 6.1990 10.1051
angles (deg): 90.00 90.00 109.30
Element x y z (fractional)
Ni 0.8775 0.6280 0.6244
Ni 0.7496 0.2504 0.7483
Ni 0.1222 0.3727 0.8744
Ni 0.7496 0.2504 0.2517
Ni 0.8778 0.6273 0.8744
Ni 0.1222 0.3727 0.1256
Zn 0.2530 0.7470 0.0000
Ni 0.8775 0.6280 0.3756
Zn 0.7470 0.2530 0.0000
Ni 0.2504 0.7496 0.2517
Ni 0.6280 0.8775 0.3756
Ni 0.3727 0.1222 0.8744
Ni 0.5000 0.5000 0.5000
Ni 0.8778 0.6273 0.1256
Ge 0.0000 0.0000 0.2474
Ni 0.3720 0.1225 0.6244
Ge 0.7463 0.2537 0.5000
Ni 0.6273 0.8778 0.1256
Zn 0.5000 0.5000 0.2485
Ni 0.1225 0.3720 0.3756
Ni 0.6273 0.8778 0.8744
Ge 0.2537 0.7463 0.5000
Zn 0.5000 0.5000 0.7515
Ge 0.0000 0.0000 0.7526
Ni 0.1225 0.3720 0.6244
Ni 0.0000 0.0000 0.5000
Ni 0.6280 0.8775 0.6244
Ni 0.5000 0.5000 0.0000
Ni 0.0000 0.0000 0.0000
Ni 0.3727 0.1222 0.1256
Ni 0.3720 0.1225 0.3756
Ni 0.2504 0.7496 0.7483

- polymorph energy (0 for the lowest one) (meV per atom) = 0
- DOS(E_F) (states/eV/f.u.) = 7.87
- uncorrected energy (eV for the cell shown) = -168.5

=====

VASP calculation (PBE) on an optimized crystal structure of TmTlHg.

a b c (Å): 4.8841 4.8841 4.8841
angles (deg): 60.00 60.00 60.00
Element x y z (fractional)
Hg 0.2500 0.2500 0.2500
Tl 0.0000 0.0000 0.0000
Tm 0.5000 0.5000 0.5000

- polymorph energy (0 for the lowest one) (meV per atom) = 63
- DOS(E_F) (states/eV/f.u.) = 0.87
- uncorrected energy (eV for the cell shown) = -7.8

=====

VASP calculation (PBE) on an optimized crystal structure of NbCr2Br4.

a b c (Å): 5.4443 5.4443 7.6453
angles (deg): 69.14 69.14 90.00
Element x y z (fractional)
Br 0.2009 0.2009 0.5981
Br 0.0000 0.5000 0.0000
Br 0.7991 0.7991 0.4019
Cr 0.6094 0.6094 0.7811
Cr 0.3906 0.3906 0.2189
Nb 0.0000 0.0000 0.0000
Br 0.5000 0.0000 0.0000

- formation energy without anion corrections (meV per atom) = 104
- DOS(E_F) (states/eV/f.u.) = 5.50
- uncorrected energy (eV for the cell shown) = -35.3

=====

Number 1 is which compound?
PrSm2Ir

=====

Copy entry 9 word for word.
VASP calculation (PBE) on an optimized crystal structure of TmTlHg.

a b c (Å): 4.8841 4.8841 4.8841
angles (deg): 60.00 60.00 60.00
Element x y z (fractional)
Hg 0.2500 0.2500 0.2500
Tl 0.0000 0.0000 0.0000
Tm 0.5000 0.5000 0.5000

- polymorph energy (0 for the lowest one) (meV per atom) = 63
- DOS(E_F) (states/eV/f.u.) = 0.87
- uncorrected energy (eV for the cell shown) = -7.8

=====

Look up the uncorrected energy of the sixth one.
-31.8 eV for the cell shown